1.
The following is a DFT calculation (PBE) of a geometry-optimized CuRe2Pt structure.

The crystal system is tetragonal. The value obtained for the relative energy among the computed polymorphs is 0.020 eV per atom.

The space group is P4mm (No. 99) and the conventional cell measures 2.779, 2.779 and 7.505 Å, with angles of 90.00, 90.00 and 90.00 degrees. The inequivalent atoms are Cu at (0.000, 0.000, 0.000), Re at (0.000, 0.000, 0.508), Re at (0.500, 0.500, 0.752) and Pt at (0.500, 0.500, 0.245).



2.
The following is a DFT calculation (PBE) of a geometry-optimized CuRePt structure.

The crystal system is monoclinic. The value obtained for the relative energy among the computed polymorphs is 0.128 eV per atom.

The space group is P2_1/m (No. 11) and the conventional cell measures 4.633, 2.756 and 6.941 Å, with angles of 90.00, 103.36 and 90.00 degrees. The inequivalent atoms are Cu at (0.029, 0.250, 0.337), Re at (0.245, 0.250, 0.002) and Pt at (0.475, 0.250, 0.673).



3.
The following is a DFT calculation (PBE) of a geometry-optimized CuRe2Pt structure.

The crystal system is cubic. The value obtained for the relative energy among the computed polymorphs is 0.258 eV per atom.

The space group is F-43m (No. 216) and the conventional cell measures 6.171, 6.171 and 6.171 Å, with angles of 90.00, 90.00 and 90.00 degrees. The inequivalent atoms are Cu at (0.000, 0.000, 0.000), Re at (0.000, 0.000, 0.500), Re at (0.250, 0.250, 0.750) and Pt at (0.250, 0.250, 0.250).



4.
The following is a DFT calculation (PBE) of a geometry-optimized CuRePt2 structure.

The crystal system is trigonal. The value obtained for the relative energy among the computed polymorphs is 0.150 eV per atom.

The space group is R3m (No. 160, hexagonal axes) and the conventional cell measures 2.7613, 2.7613 and 26.7350 Å, with angles of 90.00, 90.00 and 120.00 degrees. The inequivalent atoms are Cu at (0.0000, 0.0000, 0.0000), Re at (0.0000, 0.0000, 0.2529), Pt at (0.0000, 0.0000, 0.5040) and Pt at (0.0000, 0.0000, 0.7471).



5.
The following is a DFT calculation (PBE) of a geometry-optimized Cu2RePtSe structure.

The calculation puts the electronic total energy at -23.84 eV for the cell shown. The crystal system is tetragonal.

The space group is P4/mmm (No. 123) and the conventional cell measures 4.722, 4.722 and 4.550 Å, with angles of 90.00, 90.00 and 90.00 degrees. The inequivalent atoms are Cu at (0.000, 0.500, 0.000), Re at (0.000, 0.000, 0.000), Pt at (0.500, 0.500, 0.500) and Se at (0.000, 0.000, 0.500).



6.
The following is a DFT calculation (PBE) of a geometry-optimized TlCuRePt2 structure.

The calculation puts the electronic total energy at -24.67 eV for the cell shown. The crystal system is tetragonal.

The space group is P4/mmm (No. 123) and the conventional cell measures 4.853, 4.853 and 5.271 Å, with angles of 90.00, 90.00 and 90.00 degrees. The inequivalent atoms are Tl at (0.000, 0.000, 0.000), Cu at (0.500, 0.500, 0.000), Re at (0.000, 0.000, 0.500) and Pt at (0.000, 0.500, 0.500).



Number 1: total moment 0.0 μB per formula unit. Number 2: total moment 0.0 μB per formula unit. Number 3: total moment 0.0 μB per formula unit. Number 4: total moment 0.0 μB per formula unit. Number 5: total moment 0.0 μB per formula unit. Number 6: total moment 0.0 μB per formula unit.